1.
Below is an optimized crystal structure of ScWSe2, with properties calculated at the GGA-PBE level.

Cell lengths 6.487, 6.487, 6.487 Å; angles 90.00, 90.00, 90.00 degrees
Space group Fm-3m (No. 225)
Asymmetric unit:
Sc 0.000 0.000 0.000 (multiplicity 4)
W 0.000 0.000 0.500 (multiplicity 4)
Se 0.250 0.250 0.250 (multiplicity 8)

Computed properties:
Electronic total energy in eV/atom: -6.922
Uncorrected formation energy in eV per atom: -0.359

2.
Below is an optimized crystal structure of NaTl2Sn3, with properties calculated at the GGA-PBE level.

Cell lengths 25.814, 3.433, 8.116 Å; angles 90.00, 103.05, 90.00 degrees
Space group C2/m (No. 12)
Asymmetric unit:
Na 0.107 0.000 0.143 (multiplicity 4)
Tl 0.012 0.500 0.796 (multiplicity 4)
Tl 0.241 0.500 0.183 (multiplicity 4)
Sn 0.073 0.000 0.520 (multiplicity 4)
Sn 0.143 0.500 0.830 (multiplicity 4)
Sn 0.179 0.500 0.492 (multiplicity 4)

Computed properties:
Electronic total energy in eV/atom: -3.043
ΔE_f in eV per atom: -0.0334

3.
Below is an optimized crystal structure of TlSb4Pb5, with properties calculated at the GGA-PBE level.

Cell lengths 18.263, 4.737, 8.064 Å; angles 90.00, 100.45, 90.00 degrees
Space group C2/m (No. 12)
Asymmetric unit:
Tl 0.000 0.000 0.000 (multiplicity 2)
Sb 0.055 0.500 0.775 (multiplicity 4)
Sb 0.149 0.000 0.297 (multiplicity 4)
Pb 0.000 0.000 0.500 (multiplicity 2)
Pb 0.178 0.500 0.560 (multiplicity 4)
Pb 0.191 0.500 0.057 (multiplicity 4)

Computed properties:
Electronic total energy in eV/atom: -3.685
Uncorrected formation energy in eV per atom: 0.054

4.
Below is an optimized crystal structure of TbZrCoCu, with properties calculated at the GGA-PBE level.

Cell lengths 6.641, 6.641, 6.641 Å; angles 90.00, 90.00, 90.00 degrees
Space group F-43m (No. 216)
Asymmetric unit:
Tb 0.000 0.000 0.000 (multiplicity 4)
Zr 0.000 0.000 0.500 (multiplicity 4)
Co 0.250 0.250 0.750 (multiplicity 4)
Cu 0.250 0.250 0.250 (multiplicity 4)

Computed properties:
Electronic total energy in eV/atom: -6.228
ΔE_f in eV per atom: -0.1329

5.
Below is an optimized crystal structure of Ti2POsS, with properties calculated at the GGA-PBE level.

Cell lengths 4.438, 4.438, 4.319 Å; angles 90.00, 90.00, 90.00 degrees
Space group P4/mmm (No. 123)
Asymmetric unit:
Ti 0.000 0.500 0.000 (multiplicity 2)
P 0.000 0.000 0.500 (multiplicity 1)
Os 0.500 0.500 0.500 (multiplicity 1)
S 0.500 0.500 0.000 (multiplicity 1)

Computed properties:
Electronic total energy in eV/atom: -7.167
Uncorrected formation energy in eV per atom: 0.144

6.
Below is an optimized crystal structure of YMgRe2, with properties calculated at the GGA-PBE level.

Cell lengths 3.142, 3.142, 7.878 Å; angles 90.00, 90.00, 90.00 degrees
Space group P4mm (No. 99)
Asymmetric unit:
Y 0.000 0.000 0.000 (multiplicity 1)
Mg 0.500 0.500 0.329 (multiplicity 1)
Re 0.000 0.000 0.559 (multiplicity 1)
Re 0.500 0.500 0.732 (multiplicity 1)

Computed properties:
Electronic total energy in eV/atom: -8.165
ΔE_f in eV per atom: 0.0740

7.
Below is an optimized crystal structure of RbGaCu2C, with properties calculated at the GGA-PBE level.

Cell lengths 5.680, 5.680, 5.273 Å; angles 90.00, 90.00, 90.00 degrees
Space group P4/mmm (No. 123)
Asymmetric unit:
Rb 0.000 0.000 0.000 (multiplicity 1)
Ga 0.500 0.500 0.500 (multiplicity 1)
Cu 0.000 0.500 0.000 (multiplicity 2)
C 0.000 0.000 0.500 (multiplicity 1)

Computed properties:
Electronic total energy in eV/atom: -1.887
ΔE_f in eV per atom: 2.3950

8.
Below is an optimized crystal structure of CuPSe2Br, with properties calculated at the GGA-PBE level.

Cell lengths 4.847, 4.847, 4.687 Å; angles 90.00, 90.00, 90.00 degrees
Space group P4/mmm (No. 123)
Asymmetric unit:
Cu 0.000 0.000 0.000 (multiplicity 1)
P 0.500 0.500 0.500 (multiplicity 1)
Se 0.000 0.500 0.000 (multiplicity 2)
Br 0.000 0.000 0.500 (multiplicity 1)

Computed properties:
Electronic total energy in eV/atom: -2.900
Uncorrected formation energy in eV per atom: 0.729

9.
Below is an optimized crystal structure of CsNa3Zr, with properties calculated at the GGA-PBE level.

Cell lengths 6.313, 6.313, 6.313 Å; angles 90.00, 90.00, 90.00 degrees
Space group Pm-3m (No. 221)
Asymmetric unit:
Cs 0.000 0.000 0.000 (multiplicity 1)
Na 0.000 0.500 0.500 (multiplicity 3)
Zr 0.500 0.500 0.500 (multiplicity 1)

Computed properties:
Electronic total energy in eV/atom: -1.795
ΔE_f in eV per atom: 0.8763

10.
Below is an optimized crystal structure of YMnCl2, with properties calculated at the GGA-PBE level.

Cell lengths 4.510, 4.510, 8.149 Å; angles 90.00, 90.00, 90.00 degrees
Space group I4/mmm (No. 139)
Asymmetric unit:
Y 0.000 0.000 0.000 (multiplicity 2)
Mn 0.000 0.000 0.500 (multiplicity 2)
Cl 0.000 0.500 0.250 (multiplicity 4)

Computed properties:
Electronic total energy in eV/atom: -5.430
Uncorrected formation energy in eV per atom: -0.598

11.
Below is an optimized crystal structure of BaAlTe2N, with properties calculated at the GGA-PBE level.

Cell lengths 6.723, 6.723, 4.352 Å; angles 90.00, 90.00, 90.00 degrees
Space group P4/mmm (No. 123)
Asymmetric unit:
Ba 0.000 0.000 0.000 (multiplicity 1)
Al 0.500 0.500 0.500 (multiplicity 1)
Te 0.000 0.500 0.000 (multiplicity 2)
N 0.000 0.000 0.500 (multiplicity 1)

Computed properties:
Electronic total energy in eV/atom: -3.051
Uncorrected formation energy in eV per atom: 1.003

12.
Below is an optimized crystal structure of Tm5AgRh4, with properties calculated at the GGA-PBE level.

Cell lengths 3.385, 3.385, 17.506 Å; angles 90.00, 90.00, 90.00 degrees
Space group P4/mmm (No. 123)
Asymmetric unit:
Tm 0.000 0.000 0.000 (multiplicity 1)
Tm 0.000 0.000 0.193 (multiplicity 2)
Tm 0.000 0.000 0.385 (multiplicity 2)
Ag 0.500 0.500 0.500 (multiplicity 1)
Rh 0.500 0.500 0.097 (multiplicity 2)
Rh 0.500 0.500 0.292 (multiplicity 2)

Computed properties:
Electronic total energy in eV/atom: -6.305
ΔE_f in eV per atom: -0.8434